NaLuIr after structural relaxation, computed with GGA-PBE.

abc: 4.633 4.633 4.633
angles: 60.00 60.00 60.00
Fractional coordinates of all 3 atoms:
Ir (0.000, 0.000, 0.000)
Lu (0.250, 0.250, 0.250)
Na (0.750, 0.750, 0.750)

Polymorph energy (0 for the lowest one)   0.0 kJ/mol of formula units
DFT total energy   -14.8 eV for the cell shown
Space-group type   F-43m (216)


NaLuIr after structural relaxation, computed with GGA-PBE.

abc: 4.621 4.621 4.621
angles: 60.00 60.00 60.00
Fractional coordinates of all 3 atoms:
Ir (0.250, 0.250, 0.250)
Lu (0.000, 0.000, 0.000)
Na (0.750, 0.750, 0.750)

Polymorph energy (0 for the lowest one)   97.5 kJ/mol of formula units
DFT total energy   -13.8 eV for the cell shown
Space-group type   F-43m (216)


NaLuSbIr after structural relaxation, computed with GGA-PBE.

abc: 4.907 4.907 4.907
angles: 60.00 60.00 60.00
Fractional coordinates of all 4 atoms:
Ir (0.500, 0.500, 0.500)
Lu (0.250, 0.250, 0.250)
Na (0.750, 0.750, 0.750)
Sb (0.000, 0.000, 0.000)

Polymorph energy (0 for the lowest one)   94.7 kJ/mol of formula units
DFT total energy   -19.8 eV for the cell shown
Space-group type   F-43m (216)


NaLuSbIr after structural relaxation, computed with GGA-PBE.

abc: 4.772 4.772 4.772
angles: 60.00 60.00 60.00
Fractional coordinates of all 4 atoms:
Ir (0.250, 0.250, 0.250)
Lu (0.500, 0.500, 0.500)
Na (0.750, 0.750, 0.750)
Sb (0.000, 0.000, 0.000)

Polymorph energy (0 for the lowest one)   0.0 kJ/mol of formula units
DFT total energy   -20.8 eV for the cell shown
Space-group type   F-43m (216)


NaLuTaIr after structural relaxation, computed with GGA-PBE.

abc: 4.731 4.731 4.731
angles: 60.00 60.00 60.00
Fractional coordinates of all 4 atoms:
Ir (0.250, 0.250, 0.250)
Lu (0.500, 0.500, 0.500)
Na (0.750, 0.750, 0.750)
Ta (0.000, 0.000, 0.000)

Polymorph energy (0 for the lowest one)   0.0 kJ/mol of formula units
DFT total energy   -26.2 eV for the cell shown
Space-group type   F-43m (216)


NaLuTaIr after structural relaxation, computed with GGA-PBE.

abc: 4.714 4.714 4.714
angles: 60.00 60.00 60.00
Fractional coordinates of all 4 atoms:
Ir (0.000, 0.000, 0.000)
Lu (0.500, 0.500, 0.500)
Na (0.750, 0.750, 0.750)
Ta (0.250, 0.250, 0.250)

Polymorph energy (0 for the lowest one)   78.1 kJ/mol of formula units
DFT total energy   -25.4 eV for the cell shown
Space-group type   F-43m (216)


LuNbIr after structural relaxation, computed with GGA-PBE.

abc: 4.526 4.526 4.526
angles: 60.00 60.00 60.00
Fractional coordinates of all 3 atoms:
Ir (0.000, 0.000, 0.000)
Lu (0.250, 0.250, 0.250)
Nb (0.750, 0.750, 0.750)

DFT total energy   -24.4 eV for the cell shown
Space-group type   F-43m (216)


LuNbIr2 after structural relaxation, computed with GGA-PBE.

abc: 4.583 4.583 4.583
angles: 60.00 60.00 60.00
Fractional coordinates of all 4 atoms:
Ir (0.000, 0.000, 0.000)
Ir (0.250, 0.250, 0.250)
Lu (0.500, 0.500, 0.500)
Nb (0.750, 0.750, 0.750)

DFT total energy   -33.2 eV for the cell shown
Space-group type   F-43m (216)


Lu2NbIr after structural relaxation, computed with GGA-PBE.

abc: 4.811 4.811 4.811
angles: 60.00 60.00 60.00
Fractional coordinates of all 4 atoms:
Ir (0.750, 0.750, 0.750)
Lu (0.250, 0.250, 0.250)
Lu (0.500, 0.500, 0.500)
Nb (0.000, 0.000, 0.000)

DFT total energy   -28.3 eV for the cell shown
Space-group type   F-43m (216)


LuNbSb2Ir2 after structural relaxation, computed with GGA-PBE.

abc: 4.494 6.338 8.957
angles: 90.00 90.00 90.00
Fractional coordinates of all 12 atoms:
Ir (0.000, 0.735, 0.113)
Ir (0.500, 0.268, 0.358)
Ir (0.000, 0.768, 0.642)
Ir (0.500, 0.235, 0.887)
Lu (0.000, 0.005, 0.375)
Lu (0.500, 0.505, 0.625)
Nb (0.500, 0.495, 0.122)
Nb (0.000, 0.995, 0.878)
Sb (0.500, 0.988, 0.128)
Sb (0.000, 0.510, 0.377)
Sb (0.500, 0.010, 0.623)
Sb (0.000, 0.488, 0.872)

DFT total energy   -90.3 eV for the cell shown
Space-group type   Pmn2_1 (31)


NdLuIr after structural relaxation, computed with GGA-PBE.

abc: 4.762 4.762 4.762
angles: 60.00 60.00 60.00
Fractional coordinates of all 3 atoms:
Ir (0.250, 0.250, 0.250)
Lu (0.750, 0.750, 0.750)
Nd (0.000, 0.000, 0.000)

DFT total energy   -17.2 eV for the cell shown
Space-group type   F-43m (216)


LuNiIr2 after structural relaxation, computed with GGA-PBE.

abc: 4.475 4.475 4.475
angles: 60.00 60.00 60.00
Fractional coordinates of all 4 atoms:
Ir (0.500, 0.500, 0.500)
Ir (0.750, 0.750, 0.750)
Lu (0.250, 0.250, 0.250)
Ni (0.000, 0.000, 0.000)

DFT total energy   -28.6 eV for the cell shown
Space-group type   F-43m (216)


LuNiIr2 after structural relaxation, computed with GGA-PBE.

abc: 4.476 4.476 4.476
angles: 60.00 60.00 60.00
Fractional coordinates of all 4 atoms:
Ir (0.000, 0.000, 0.000)
Ir (0.250, 0.250, 0.250)
Lu (0.500, 0.500, 0.500)
Ni (0.750, 0.750, 0.750)

DFT total energy   -28.6 eV for the cell shown
Space-group type   F-43m (216)


Lu2NiIr after structural relaxation, computed with GGA-PBE.

abc: 4.641 4.641 4.641
angles: 60.00 60.00 60.00
Fractional coordinates of all 4 atoms:
Ir (0.250, 0.250, 0.250)
Lu (0.500, 0.500, 0.500)
Lu (0.750, 0.750, 0.750)
Ni (0.000, 0.000, 0.000)

DFT total energy   -24.5 eV for the cell shown
Space-group type   F-43m (216)


LuNiSbIr after structural relaxation, computed with GGA-PBE.

abc: 4.683 4.683 4.683
angles: 60.00 60.00 60.00
Fractional coordinates of all 4 atoms:
Ir (0.500, 0.500, 0.500)
Lu (0.250, 0.250, 0.250)
Ni (0.750, 0.750, 0.750)
Sb (0.000, 0.000, 0.000)

DFT total energy   -23.5 eV for the cell shown
Space-group type   F-43m (216)


LuSiNiIr after structural relaxation, computed with GGA-PBE.

abc: 4.482 4.482 4.482
angles: 60.00 60.00 60.00
Fractional coordinates of all 4 atoms:
Ir (0.500, 0.500, 0.500)
Lu (0.250, 0.250, 0.250)
Ni (0.750, 0.750, 0.750)
Si (0.000, 0.000, 0.000)

DFT total energy   -24.9 eV for the cell shown
Space-group type   F-43m (216)


LuZnNiIr after structural relaxation, computed with GGA-PBE.

abc: 4.519 4.519 4.519
angles: 60.00 60.00 60.00
Fractional coordinates of all 4 atoms:
Ir (0.500, 0.500, 0.500)
Lu (0.250, 0.250, 0.250)
Ni (0.750, 0.750, 0.750)
Zn (0.000, 0.000, 0.000)

DFT total energy   -21.1 eV for the cell shown
Space-group type   F-43m (216)


LuNpIr after structural relaxation, computed with GGA-PBE.

abc: 4.680 4.680 4.680
angles: 60.00 60.00 60.00
Fractional coordinates of all 3 atoms:
Ir (0.000, 0.000, 0.000)
Lu (0.750, 0.750, 0.750)
Np (0.250, 0.250, 0.250)

Polymorph energy (0 for the lowest one)   0.0 kJ/mol of formula units
DFT total energy   -27.0 eV for the cell shown
Space-group type   F-43m (216)


Lu2ZnIrO6 after structural relaxation, computed with GGA-PBE.

abc: 5.209 5.644 9.201
angles: 90.00 124.37 90.00
Fractional coordinates of all 20 atoms:
Ir (0.000, 0.500, 0.000)
Ir (0.000, 0.000, 0.500)
Lu (0.718, 0.581, 0.247)
Lu (0.282, 0.081, 0.253)
Lu (0.718, 0.919, 0.747)
Lu (0.282, 0.419, 0.753)
O (0.385, 0.312, 0.066)
O (0.247, 0.806, 0.071)
O (0.103, 0.443, 0.245)
O (0.897, 0.943, 0.255)
O (0.753, 0.306, 0.429)
O (0.615, 0.812, 0.434)
O (0.385, 0.188, 0.566)
O (0.247, 0.694, 0.571)
O (0.103, 0.057, 0.745)
O (0.897, 0.557, 0.755)
O (0.753, 0.194, 0.929)
O (0.615, 0.688, 0.934)
Zn (0.500, 0.000, 0.000)
Zn (0.500, 0.500, 0.500)

DFT total energy   -143.2 eV for the cell shown
Space-group type   P2_1/c (14)


Lu2Ir3Os after structural relaxation, computed with GGA-PBE.

abc: 5.320 5.320 8.601
angles: 90.00 90.00 120.00
Fractional coordinates of all 12 atoms:
Ir (0.170, 0.339, 0.250)
Ir (0.170, 0.830, 0.250)
Ir (0.661, 0.830, 0.250)
Ir (0.339, 0.170, 0.750)
Ir (0.830, 0.170, 0.750)
Ir (0.830, 0.661, 0.750)
Lu (0.667, 0.333, 0.065)
Lu (0.667, 0.333, 0.435)
Lu (0.333, 0.667, 0.565)
Lu (0.333, 0.667, 0.935)
Os (0.000, 0.000, 0.000)
Os (0.000, 0.000, 0.500)

DFT total energy   -102.6 eV for the cell shown
Space-group type   P6_3/mmc (194)


LuIrOs2 after structural relaxation, computed with GGA-PBE.

abc: 4.799 4.799 4.799
angles: 60.00 60.00 60.00
Fractional coordinates of all 4 atoms:
Ir (0.250, 0.250, 0.250)
Lu (0.500, 0.500, 0.500)
Os (0.000, 0.000, 0.000)
Os (0.750, 0.750, 0.750)

DFT total energy   -33.8 eV for the cell shown
Space-group type   F-43m (216)


LuIrPb2 after structural relaxation, computed with GGA-PBE.

abc: 4.431 4.431 4.431
angles: 60.00 60.00 60.00
Fractional coordinates of all 4 atoms:
Ir (0.500, 0.500, 0.500)
Lu (0.750, 0.750, 0.750)
Pb (0.000, 0.000, 0.000)
Pb (0.250, 0.250, 0.250)

Polymorph energy (0 for the lowest one)   597.9 kJ/mol of formula units
DFT total energy   -14.8 eV for the cell shown
Space-group type   F-43m (216)


LuIrPb2 after structural relaxation, computed with GGA-PBE.

abc: 5.051 5.051 5.051
angles: 60.00 60.00 60.00
Fractional coordinates of all 4 atoms:
Ir (0.000, 0.000, 0.000)
Lu (0.750, 0.750, 0.750)
Pb (0.250, 0.250, 0.250)
Pb (0.500, 0.500, 0.500)

Polymorph energy (0 for the lowest one)   0.0 kJ/mol of formula units
DFT total energy   -21.0 eV for the cell shown
Space-group type   F-43m (216)


Lu2IrPb after structural relaxation, computed with GGA-PBE.

abc: 4.977 4.977 4.977
angles: 60.00 60.00 60.00
Fractional coordinates of all 4 atoms:
Ir (0.250, 0.250, 0.250)
Lu (0.000, 0.000, 0.000)
Lu (0.750, 0.750, 0.750)
Pb (0.500, 0.500, 0.500)

DFT total energy   -22.4 eV for the cell shown
Space-group type   F-43m (216)


LuIr3Pd after structural relaxation, computed with GGA-PBE.

abc: 6.570 6.570 6.570
angles: 132.96 114.32 84.64
Fractional coordinates of all 10 atoms:
Ir (0.680, 0.000, 0.180)
Ir (0.984, 0.734, 0.250)
Ir (0.320, 0.500, 0.320)
Ir (0.680, 0.500, 0.680)
Ir (0.016, 0.266, 0.750)
Ir (0.320, 0.000, 0.820)
Lu (0.500, 0.500, 0.000)
Lu (0.000, 0.500, 0.500)
Pd (0.279, 0.029, 0.250)
Pd (0.721, 0.971, 0.750)

DFT total energy   -74.0 eV for the cell shown
Space-group type   Imma (74)


LuIrPd2 after structural relaxation, computed with GGA-PBE.

abc: 4.581 4.581 4.581
angles: 60.00 60.00 60.00
Fractional coordinates of all 4 atoms:
Ir (0.500, 0.500, 0.500)
Lu (0.250, 0.250, 0.250)
Pd (0.000, 0.000, 0.000)
Pd (0.750, 0.750, 0.750)

DFT total energy   -25.7 eV for the cell shown
Space-group type   F-43m (216)


LuIr2Pd after structural relaxation, computed with GGA-PBE.

abc: 4.571 4.571 4.571
angles: 60.00 60.00 60.00
Fractional coordinates of all 4 atoms:
Ir (0.000, 0.000, 0.000)
Ir (0.750, 0.750, 0.750)
Lu (0.250, 0.250, 0.250)
Pd (0.500, 0.500, 0.500)

DFT total energy   -28.6 eV for the cell shown
Space-group type   F-43m (216)


LuSi2IrPt after structural relaxation, computed with GGA-PBE.

abc: 4.083 4.083 10.021
angles: 90.00 90.00 90.00
Fractional coordinates of all 10 atoms:
Ir (0.000, 0.000, 0.000)
Ir (0.500, 0.500, 0.000)
Lu (0.000, 0.500, 0.248)
Lu (0.500, 0.000, 0.752)
Pt (0.500, 0.000, 0.367)
Pt (0.000, 0.500, 0.633)
Si (0.500, 0.000, 0.130)
Si (0.000, 0.000, 0.500)
Si (0.500, 0.500, 0.500)
Si (0.000, 0.500, 0.870)

Polymorph energy (0 for the lowest one)   0.0 kJ/mol of formula units
DFT total energy   -71.2 eV for the cell shown
Space-group type   P4/nmm (129)